Entry 1:
# PBE RbInPb2, relaxed
# Magnetization: 0.00 μB per atom
# ρ: 7.21 Mg/m³
# Calculated formation energy: -0.0848 eV per atom
data_RbInPb2
_space_group_name_H-M_alt 'P 1'
_space_group_IT_number 1
_cell_length_a 4.120
_cell_length_b 4.120
_cell_length_c 8.338
_cell_angle_alpha 90.00
_cell_angle_beta 90.00
_cell_angle_gamma 90.00
loop_
_space_group_symop_operation_xyz
'x,y,z'
loop_
_atom_site_label
_atom_site_type_symbol
_atom_site_fract_x
_atom_site_fract_y
_atom_site_fract_z
Rb1 Rb 0.000 0.000 0.000
In1 In 0.000 0.000 0.500
Pb1 Pb 0.500 0.500 0.314
Pb2 Pb 0.500 0.500 0.686

Entry 2:
# PBE RbInPb2, relaxed
# Magnetization: 0.00 μB per atom
# ρ: 6.94 Mg/m³
# Calculated formation energy: -0.0337 eV per atom
data_RbInPb2
_space_group_name_H-M_alt 'P 1'
_space_group_IT_number 1
_cell_length_a 5.068
_cell_length_b 5.068
_cell_length_c 11.446
_cell_angle_alpha 90.00
_cell_angle_beta 90.00
_cell_angle_gamma 90.00
loop_
_space_group_symop_operation_xyz
'x,y,z'
loop_
_atom_site_label
_atom_site_type_symbol
_atom_site_fract_x
_atom_site_fract_y
_atom_site_fract_z
Rb1 Rb 0.250 0.250 0.244
Rb2 Rb 0.750 0.750 0.756
In1 In 0.250 0.250 0.667
In2 In 0.750 0.750 0.333
Pb1 Pb 0.250 0.250 0.943
Pb2 Pb 0.250 0.750 0.500
Pb3 Pb 0.750 0.250 0.500
Pb4 Pb 0.750 0.750 0.057

Entry 3:
# PBE RbIn2Pb4, relaxed
# Magnetization: 0.00 μB per atom
# ρ: 7.74 Mg/m³
# Calculated formation energy: -0.0312 eV per atom
data_RbIn2Pb4
_space_group_name_H-M_alt 'P 1'
_space_group_IT_number 1
_cell_length_a 5.328
_cell_length_b 17.143
_cell_length_c 5.375
_cell_angle_alpha 90.00
_cell_angle_beta 90.00
_cell_angle_gamma 90.00
loop_
_space_group_symop_operation_xyz
'x,y,z'
loop_
_atom_site_label
_atom_site_type_symbol
_atom_site_fract_x
_atom_site_fract_y
_atom_site_fract_z
Rb1 Rb 0.000 0.000 0.000
Rb2 Rb 0.500 0.500 0.000
In1 In 0.000 0.414 0.500
In2 In 0.000 0.586 0.500
In3 In 0.500 0.086 0.500
In4 In 0.500 0.914 0.500
Pb1 Pb 0.000 0.186 0.500
Pb2 Pb 0.000 0.311 0.000
Pb3 Pb 0.000 0.689 0.000
Pb4 Pb 0.000 0.814 0.500
Pb5 Pb 0.500 0.189 0.000
Pb6 Pb 0.500 0.314 0.500
Pb7 Pb 0.500 0.686 0.500
Pb8 Pb 0.500 0.811 0.000

Entry 4:
# PBE RbIn2Pb6, relaxed
# Magnetization: 0.00 μB per atom
# ρ: 8.44 Mg/m³
# Calculated formation energy: -0.0317 eV per atom
data_RbIn2Pb6
_space_group_name_H-M_alt 'P 1'
_space_group_IT_number 1
_cell_length_a 5.137
_cell_length_b 5.137
_cell_length_c 11.615
_cell_angle_alpha 90.00
_cell_angle_beta 90.00
_cell_angle_gamma 90.00
loop_
_space_group_symop_operation_xyz
'x,y,z'
loop_
_atom_site_label
_atom_site_type_symbol
_atom_site_fract_x
_atom_site_fract_y
_atom_site_fract_z
Rb1 Rb 0.000 0.000 0.000
In1 In 0.500 0.500 0.130
In2 In 0.500 0.500 0.870
Pb1 Pb 0.000 0.000 0.500
Pb2 Pb 0.000 0.500 0.296
Pb3 Pb 0.000 0.500 0.704
Pb4 Pb 0.500 0.000 0.296
Pb5 Pb 0.500 0.000 0.704
Pb6 Pb 0.500 0.500 0.500

Entry 5:
# PBE RbInPb2, relaxed
# Magnetization: 0.00 μB per atom
# ρ: 6.51 Mg/m³
# Calculated formation energy: -0.0244 eV per atom
data_RbInPb2
_space_group_name_H-M_alt 'P 1'
_space_group_IT_number 1
_cell_length_a 5.144
_cell_length_b 5.144
_cell_length_c 20.524
_cell_angle_alpha 90.00
_cell_angle_beta 90.00
_cell_angle_gamma 120.00
loop_
_space_group_symop_operation_xyz
'x,y,z'
loop_
_atom_site_label
_atom_site_type_symbol
_atom_site_fract_x
_atom_site_fract_y
_atom_site_fract_z
Rb1 Rb 0.000 0.000 0.000
Rb2 Rb 0.333 0.667 0.667
Rb3 Rb 0.667 0.333 0.333
In1 In 0.000 0.000 0.500
In2 In 0.333 0.667 0.167
In3 In 0.667 0.333 0.833
Pb1 Pb 0.000 0.000 0.216
Pb2 Pb 0.000 0.000 0.784
Pb3 Pb 0.333 0.667 0.450
Pb4 Pb 0.333 0.667 0.883
Pb5 Pb 0.667 0.333 0.117
Pb6 Pb 0.667 0.333 0.550

Entry 6:
# PBE RbIn2Pb9, relaxed
# Magnetization: 0.00 μB per atom
# ρ: 9.36 Mg/m³
# Calculated formation energy: 0.0278 eV per atom
data_RbIn2Pb9
_space_group_name_H-M_alt 'P 1'
_space_group_IT_number 1
_cell_length_a 11.426
_cell_length_b 11.426
_cell_length_c 3.422
_cell_angle_alpha 90.00
_cell_angle_beta 90.00
_cell_angle_gamma 120.00
loop_
_space_group_symop_operation_xyz
'x,y,z'
loop_
_atom_site_label
_atom_site_type_symbol
_atom_site_fract_x
_atom_site_fract_y
_atom_site_fract_z
Rb1 Rb 0.000 0.000 0.000
In1 In 0.333 0.667 0.000
In2 In 0.667 0.333 0.000
Pb1 Pb 0.000 0.500 0.000
Pb2 Pb 0.183 0.365 0.500
Pb3 Pb 0.183 0.817 0.500
Pb4 Pb 0.365 0.183 0.500
Pb5 Pb 0.500 0.000 0.000
Pb6 Pb 0.500 0.500 0.000
Pb7 Pb 0.635 0.817 0.500
Pb8 Pb 0.817 0.183 0.500
Pb9 Pb 0.817 0.635 0.500

Entry 7:
# PBE RbIn4Pb8, relaxed
# Magnetization: 0.00 μB per atom
# ρ: 8.69 Mg/m³
# Calculated formation energy: -0.0226 eV per atom
data_RbIn4Pb8
_space_group_name_H-M_alt 'P 1'
_space_group_IT_number 1
_cell_length_a 8.776
_cell_length_b 8.776
_cell_length_c 8.776
_cell_angle_alpha 97.32
_cell_angle_beta 97.32
_cell_angle_gamma 138.17
loop_
_space_group_symop_operation_xyz
'x,y,z'
loop_
_atom_site_label
_atom_site_type_symbol
_atom_site_fract_x
_atom_site_fract_y
_atom_site_fract_z
Rb1 Rb 0.000 0.000 0.000
In1 In 0.000 0.000 0.500
In2 In 0.000 0.500 0.000
In3 In 0.500 0.000 0.000
In4 In 0.500 0.500 0.500
Pb1 Pb 0.000 0.357 0.357
Pb2 Pb 0.000 0.643 0.643
Pb3 Pb 0.281 0.500 0.781
Pb4 Pb 0.357 0.000 0.357
Pb5 Pb 0.500 0.281 0.781
Pb6 Pb 0.500 0.719 0.219
Pb7 Pb 0.643 0.000 0.643
Pb8 Pb 0.719 0.500 0.219

Entry 8:
# PBE Rb2InPb, relaxed
# Magnetization: 0.00 μB per atom
# ρ: 4.53 Mg/m³
# Calculated formation energy: 0.1802 eV per atom
data_Rb2InPb
_space_group_name_H-M_alt 'P 1'
_space_group_IT_number 1
_cell_length_a 10.459
_cell_length_b 10.459
_cell_length_c 6.605
_cell_angle_alpha 90.00
_cell_angle_beta 90.00
_cell_angle_gamma 90.00
loop_
_space_group_symop_operation_xyz
'x,y,z'
loop_
_atom_site_label
_atom_site_type_symbol
_atom_site_fract_x
_atom_site_fract_y
_atom_site_fract_z
Rb1 Rb 0.246 0.250 0.125
Rb2 Rb 0.250 0.746 0.375
Rb3 Rb 0.250 0.754 0.875
Rb4 Rb 0.254 0.250 0.625
Rb5 Rb 0.746 0.750 0.625
Rb6 Rb 0.750 0.246 0.875
Rb7 Rb 0.750 0.254 0.375
Rb8 Rb 0.754 0.750 0.125
In1 In 0.000 0.000 0.000
In2 In 0.000 0.500 0.250
In3 In 0.500 0.000 0.750
In4 In 0.500 0.500 0.500
Pb1 Pb 0.000 0.000 0.500
Pb2 Pb 0.000 0.500 0.750
Pb3 Pb 0.500 0.000 0.250
Pb4 Pb 0.500 0.500 0.000

Entry 9:
# PBE RbIn4Pb, relaxed
# Magnetization: 0.00 μB per atom
# ρ: 6.13 Mg/m³
# Calculated formation energy: -0.0635 eV per atom
data_RbIn4Pb
_space_group_name_H-M_alt 'P 1'
_space_group_IT_number 1
_cell_length_a 5.334
_cell_length_b 5.334
_cell_length_c 8.269
_cell_angle_alpha 90.00
_cell_angle_beta 90.00
_cell_angle_gamma 120.00
loop_
_space_group_symop_operation_xyz
'x,y,z'
loop_
_atom_site_label
_atom_site_type_symbol
_atom_site_fract_x
_atom_site_fract_y
_atom_site_fract_z
Rb1 Rb 0.000 0.000 0.000
In1 In 0.333 0.667 0.304
In2 In 0.333 0.667 0.696
In3 In 0.667 0.333 0.304
In4 In 0.667 0.333 0.696
Pb1 Pb 0.000 0.000 0.500

Entry 10:
# PBE RbInPb2, relaxed
# Magnetization: 0.00 μB per atom
# ρ: 7.62 Mg/m³
# Calculated formation energy: 0.0670 eV per atom
data_RbInPb2
_space_group_name_H-M_alt 'P 1'
_space_group_IT_number 1
_cell_length_a 5.180
_cell_length_b 5.180
_cell_length_c 4.991
_cell_angle_alpha 90.00
_cell_angle_beta 90.00
_cell_angle_gamma 90.00
loop_
_space_group_symop_operation_xyz
'x,y,z'
loop_
_atom_site_label
_atom_site_type_symbol
_atom_site_fract_x
_atom_site_fract_y
_atom_site_fract_z
Rb1 Rb 0.000 0.000 0.000
In1 In 0.500 0.500 0.000
Pb1 Pb 0.000 0.500 0.500
Pb2 Pb 0.500 0.000 0.500

Entry 11:
# PBE RbIn3Pb4, relaxed
# Magnetization: 0.00 μB per atom
# ρ: 7.48 Mg/m³
# Calculated formation energy: -0.0231 eV per atom
data_RbIn3Pb4
_space_group_name_H-M_alt 'P 1'
_space_group_IT_number 1
_cell_length_a 5.230
_cell_length_b 5.230
_cell_length_c 10.219
_cell_angle_alpha 90.00
_cell_angle_beta 90.00
_cell_angle_gamma 90.00
loop_
_space_group_symop_operation_xyz
'x,y,z'
loop_
_atom_site_label
_atom_site_type_symbol
_atom_site_fract_x
_atom_site_fract_y
_atom_site_fract_z
Rb1 Rb 0.000 0.000 0.000
In1 In 0.000 0.000 0.500
In2 In 0.500 0.500 0.143
In3 In 0.500 0.500 0.857
Pb1 Pb 0.000 0.500 0.317
Pb2 Pb 0.000 0.500 0.683
Pb3 Pb 0.500 0.000 0.317
Pb4 Pb 0.500 0.000 0.683

- What is the formula in the eighth record?
  Rb2InPb

- Which of these has the highest ρ?
  RbIn2Pb9

- What is the calculated formation energy in the sixth record?
  0.0278 eV per atom